# Cs5In2Se5

A geometry-optimized Cs5In2Se5 structure (GGA-PBE, the Alexandria database).

Unit cell a=8.595 b=8.595 c=12.488 alpha=99.64 beta=99.64 gamma=32.84
Fractional coordinates of all 12 atoms:
Cs  0.000  0.000  0.000
Cs  0.147  0.147  0.586
Cs  0.278  0.278  0.873
Cs  0.722  0.722  0.127
Cs  0.853  0.853  0.414
In  0.470  0.470  0.707
In  0.530  0.530  0.293
Se  0.115  0.115  0.283
Se  0.388  0.388  0.157
Se  0.500  0.500  0.500
Se  0.612  0.612  0.843
Se  0.885  0.885  0.717

- Fermi-level density of states (states/eV per atom) = 0.19


# CsInSe3

A geometry-optimized CsInSe3 structure (GGA-PBE, the Alexandria database).

Unit cell a=6.007 b=6.007 c=6.007 alpha=90.00 beta=90.00 gamma=90.00
Fractional coordinates of all 5 atoms:
Cs  0.000  0.000  0.000
In  0.500  0.500  0.500
Se  0.000  0.000  0.500
Se  0.000  0.500  0.000
Se  0.500  0.000  0.000

- Fermi-level density of states (states/eV per atom) = 1.29


# CsInSe

A geometry-optimized CsInSe structure (GGA-PBE, the Alexandria database).

Unit cell a=9.846 b=9.846 c=5.605 alpha=90.00 beta=90.00 gamma=155.11
Fractional coordinates of all 6 atoms:
Cs  0.175  0.825  0.750
Cs  0.825  0.175  0.250
In  0.031  0.969  0.250
In  0.969  0.031  0.750
Se  0.374  0.626  0.750
Se  0.626  0.374  0.250

- Fermi-level density of states (states/eV per atom) = 0.12
- offset from the most stable computed form (meV per atom) = 0


# CsInSe

A geometry-optimized CsInSe structure (GGA-PBE, the Alexandria database).

Unit cell a=4.513 b=4.513 c=6.885 alpha=90.00 beta=90.00 gamma=120.00
Fractional coordinates of all 3 atoms:
Cs  0.000  0.000  0.000
In  0.333  0.667  0.453
Se  0.667  0.333  0.655

- offset from the most stable computed form (meV per atom) = 79


# CsInSe

A geometry-optimized CsInSe structure (GGA-PBE, the Alexandria database).

Unit cell a=7.041 b=8.848 c=7.086 alpha=90.00 beta=90.00 gamma=90.00
Fractional coordinates of all 12 atoms:
Cs  0.125  0.078  0.250
Cs  0.125  0.422  0.750
Cs  0.875  0.578  0.250
Cs  0.875  0.922  0.750
In  0.380  0.750  0.000
In  0.380  0.750  0.500
In  0.620  0.250  0.000
In  0.620  0.250  0.500
Se  0.373  0.081  0.750
Se  0.373  0.419  0.250
Se  0.627  0.581  0.750
Se  0.627  0.919  0.250

- offset from the most stable computed form (meV per atom) = 60


# Cs3InSe3

A geometry-optimized Cs3InSe3 structure (GGA-PBE, the Alexandria database).

Unit cell a=8.856 b=8.856 c=8.660 alpha=96.99 beta=96.99 gamma=112.86
Fractional coordinates of all 14 atoms:
Cs  0.178  0.822  0.000
Cs  0.245  0.755  0.500
Cs  0.388  0.388  0.151
Cs  0.612  0.612  0.849
Cs  0.755  0.245  0.500
Cs  0.822  0.178  0.000
In  0.170  0.170  0.650
In  0.830  0.830  0.350
Se  0.101  0.101  0.331
Se  0.153  0.441  0.778
Se  0.441  0.153  0.778
Se  0.559  0.847  0.222
Se  0.847  0.559  0.222
Se  0.899  0.899  0.669

- Fermi-level density of states (states/eV per atom) = 0.00


# CsIn5Se4

A geometry-optimized CsIn5Se4 structure (GGA-PBE, the Alexandria database).

Unit cell a=8.397 b=12.211 c=7.306 alpha=90.00 beta=90.00 gamma=90.00
Fractional coordinates of all 20 atoms:
Cs  0.250  0.250  0.183
Cs  0.750  0.750  0.817
In  0.048  0.014  0.714
In  0.048  0.486  0.714
In  0.250  0.750  0.200
In  0.452  0.014  0.714
In  0.452  0.486  0.714
In  0.548  0.514  0.286
In  0.548  0.986  0.286
In  0.750  0.250  0.800
In  0.952  0.514  0.286
In  0.952  0.986  0.286
Se  0.042  0.250  0.689
Se  0.250  0.542  0.060
Se  0.250  0.958  0.060
Se  0.458  0.250  0.689
Se  0.542  0.750  0.311
Se  0.750  0.042  0.940
Se  0.750  0.458  0.940
Se  0.958  0.750  0.311

- Fermi-level density of states (states/eV per atom) = 0.08


# CsInSiSe4

A geometry-optimized CsInSiSe4 structure (GGA-PBE, the Alexandria database).

Unit cell a=6.507 b=8.083 c=9.934 alpha=90.00 beta=105.94 gamma=90.00
Fractional coordinates of all 14 atoms:
Cs  0.235  0.250  0.401
Cs  0.765  0.750  0.599
In  0.182  0.250  0.826
In  0.818  0.750  0.174
Si  0.331  0.750  0.199
Si  0.669  0.250  0.801
Se  0.047  0.750  0.999
Se  0.178  0.750  0.384
Se  0.449  0.023  0.787
Se  0.449  0.477  0.787
Se  0.551  0.523  0.213
Se  0.551  0.977  0.213
Se  0.822  0.250  0.616
Se  0.953  0.250  0.001

- Fermi-level density of states (states/eV per atom) = 0.00


# Cs2InSiSe4

A geometry-optimized Cs2InSiSe4 structure (GGA-PBE, the Alexandria database).

Unit cell a=14.809 b=13.344 c=7.987 alpha=83.92 beta=63.65 gamma=32.43
Fractional coordinates of all 16 atoms:
Cs  0.055  0.055  0.695
Cs  0.305  0.305  0.945
Cs  0.695  0.695  0.055
Cs  0.945  0.945  0.305
In  0.125  0.125  0.125
In  0.875  0.875  0.875
Si  0.375  0.375  0.375
Si  0.625  0.625  0.625
Se  0.035  0.611  0.528
Se  0.326  0.528  0.611
Se  0.389  0.965  0.674
Se  0.472  0.674  0.965
Se  0.528  0.326  0.035
Se  0.611  0.035  0.326
Se  0.674  0.472  0.389
Se  0.965  0.389  0.472

- Fermi-level density of states (states/eV per atom) = 0.72


# CsSmInSe3

A geometry-optimized CsSmInSe3 structure (GGA-PBE, the Alexandria database).

Unit cell a=9.401 b=4.729 c=10.593 alpha=90.00 beta=109.69 gamma=90.00
Fractional coordinates of all 12 atoms:
Cs  0.221  0.250  0.242
Cs  0.779  0.750  0.758
Sm  0.336  0.750  0.866
Sm  0.664  0.250  0.134
In  0.108  0.250  0.598
In  0.892  0.750  0.402
Se  0.122  0.250  0.855
Se  0.228  0.750  0.556
Se  0.474  0.750  0.149
Se  0.526  0.250  0.851
Se  0.772  0.250  0.444
Se  0.878  0.750  0.145

- Fermi-level density of states (states/eV per atom) = 0.20


# Cs3Sm3InSe8

A geometry-optimized Cs3Sm3InSe8 structure (GGA-PBE, the Alexandria database).

Unit cell a=8.491 b=8.491 c=9.918 alpha=115.35 beta=115.35 gamma=59.99
Fractional coordinates of all 15 atoms:
Cs  0.000  0.000  0.000
Cs  0.000  0.500  0.000
Cs  0.500  0.000  0.000
Sm  0.000  0.500  0.500
Sm  0.500  0.000  0.500
Sm  0.500  0.500  0.500
In  0.000  0.000  0.500
Se  0.223  0.223  0.683
Se  0.224  0.737  0.684
Se  0.263  0.776  0.316
Se  0.270  0.270  0.311
Se  0.730  0.730  0.689
Se  0.737  0.224  0.684
Se  0.776  0.263  0.316
Se  0.777  0.777  0.317

- Fermi-level density of states (states/eV per atom) = 0.97


# CsIn2SnSe6

A geometry-optimized CsIn2SnSe6 structure (GGA-PBE, the Alexandria database).

Unit cell a=10.051 b=10.051 c=8.919 alpha=114.34 beta=114.34 gamma=84.23
Fractional coordinates of all 20 atoms:
Cs  0.188  0.812  0.750
Cs  0.812  0.188  0.250
In  0.244  0.391  0.949
In  0.391  0.244  0.449
In  0.609  0.756  0.551
In  0.756  0.609  0.051
Sn  0.155  0.845  0.250
Sn  0.845  0.155  0.750
Se  0.072  0.161  0.681
Se  0.098  0.622  0.951
Se  0.161  0.072  0.181
Se  0.352  0.441  0.724
Se  0.378  0.902  0.549
Se  0.441  0.352  0.224
Se  0.559  0.648  0.776
Se  0.622  0.098  0.451
Se  0.648  0.559  0.276
Se  0.839  0.928  0.819
Se  0.902  0.378  0.049
Se  0.928  0.839  0.319

- Fermi-level density of states (states/eV per atom) = 0.33


no.,formation energy without anion corrections (eV/atom)
1,-0.95
2,0.73
3,-0.79
4,-0.71
5,-0.72
6,-1.08
7,-0.45
8,-0.73
9,-0.78
10,-1.21
11,-1.41
12,-0.48